DFT (PBE-GGA) results for a relaxed structure of TcSb2W.

## Properties
- DOS at the Fermi energy (states/eV/cell) = 4.60
- space-group type = No. 65
- uncorrected formation energy (eV/atom) = 0.784
- distance to the lowest polymorph of the same formula (meV per atom) = 633.0

Cell lengths 3.141, 3.141, 8.552 Å; angles 90.00, 90.00, 114.94 degrees
Fractional positions:
W 0.500 0.500 0.750
Sb 0.000 0.000 0.494
Sb 0.000 0.000 0.006
Tc 0.500 0.500 0.250